(1)
Below is a relaxed TiAl2Ni5 crystal, with properties calculated at the PBE-GGA level.

Unit cell a=3.756 b=3.756 c=7.290 alpha=104.93 beta=104.93 gamma=90.00
Atoms (fractional coordinates):
Ni  0.872  0.372  0.744
Ni  0.500  0.500  0.000
Ni  0.628  0.128  0.256
Ni  0.372  0.872  0.744
Ni  0.128  0.628  0.256
Al  0.252  0.252  0.504
Al  0.748  0.748  0.496
Ti  0.000  0.000  0.000

Fermi-level density of states   2.9 states/eV per cell
E_tot   -0.2230 Ha/atom

(2)
Below is a relaxed Y2TiAlNi6 crystal, with properties calculated at the PBE-GGA level.

Unit cell a=5.226 b=8.016 c=8.022 alpha=38.04 beta=70.98 gamma=90.00
Atoms (fractional coordinates):
Ni  0.753  0.248  0.003
Ni  0.247  0.752  0.997
Ni  0.753  0.760  0.493
Ni  0.757  0.752  0.996
Ni  0.247  0.240  0.507
Ni  0.243  0.248  0.004
Ti  0.500  0.500  0.000
Y  0.710  0.288  0.579
Y  0.290  0.712  0.421
Al  0.000  0.000  0.000

Fermi-level density of states   5.2 states/eV per cell
E_tot   -0.2223 Ha/atom

(3)
Below is a relaxed TiAlZnNi crystal, with properties calculated at the PBE-GGA level.

Unit cell a=4.276 b=4.276 c=4.276 alpha=60.00 beta=60.00 gamma=60.00
Atoms (fractional coordinates):
Ti  0.000  0.000  0.000
Al  0.500  0.500  0.500
Ni  0.250  0.250  0.250
Zn  0.750  0.750  0.750

Fermi-level density of states   2.0 states/eV per cell
E_tot   -0.1866 Ha/atom

(4)
Below is a relaxed Ti2AlZn2Ni5 crystal, with properties calculated at the PBE-GGA level.

Unit cell a=2.920 b=9.543 c=9.543 alpha=90.00 beta=90.00 gamma=90.00
Atoms (fractional coordinates):
Ni  0.500  0.704  0.488
Ni  0.500  0.296  0.512
Ni  0.500  0.488  0.296
Ni  0.500  0.012  0.796
Ni  0.500  0.988  0.204
Ni  0.500  0.204  0.012
Ni  0.500  0.500  0.000
Ni  0.500  0.000  0.500
Ni  0.500  0.796  0.988
Ni  0.500  0.512  0.704
Zn  0.000  0.859  0.359
Zn  0.000  0.641  0.859
Zn  0.000  0.359  0.141
Zn  0.000  0.141  0.641
Ti  0.000  0.165  0.335
Ti  0.000  0.665  0.165
Ti  0.000  0.835  0.665
Ti  0.000  0.335  0.835
Al  0.000  0.000  0.000
Al  0.000  0.500  0.500

Fermi-level density of states   14.7 states/eV per cell
E_tot   -0.1950 Ha/atom